## AcFeCu (PBE)

Data for an optimized crystal structure of AcFeCu.

Geometry as extended XYZ:
```
12
Lattice="6.691 0.000 0.000 0.000 6.691 0.000 0.000 0.000 6.691" Properties=species:S:1:pos:R:3 pbc="T T T"
Ac 0.000 0.000 0.000
Ac 0.000 3.346 3.346
Ac 3.346 0.000 3.346
Ac 3.346 3.346 0.000
Fe 0.000 0.000 3.346
Fe 0.000 3.346 0.000
Fe 3.346 0.000 0.000
Fe 3.346 3.346 3.346
Cu 1.673 1.673 1.673
Cu 1.673 5.018 5.018
Cu 5.018 1.673 5.018
Cu 5.018 5.018 1.673
```

Summary:
* total moment: 0.733 μB/atom
* SG: F-43m (216)
* E_form: 527 meV per atom


## RbYNiS3 (PBE)

Data for an optimized crystal structure of RbYNiS3.

Geometry as extended XYZ:
```
12
Lattice="8.038 -2.066 0.000 8.038 2.066 0.000 -1.795 0.000 8.389" Properties=species:S:1:pos:R:3 pbc="T T T"
Rb 2.293 0.000 0.563
Rb 11.987 0.000 7.826
Y 1.592 0.000 4.879
Y 12.688 0.000 3.511
Ni 6.673 0.000 6.118
Ni 7.607 0.000 2.271
S -0.898 0.000 4.195
S 4.341 0.000 5.363
S 5.371 0.000 1.876
S 8.038 0.000 0.000
S 8.909 0.000 6.513
S 9.939 0.000 3.026
```

Summary:
* VASP energy: -63.93 eV/cell
* total moment: 0.160 μB/atom
* SG: C2/m (12)